Below is a relaxed structure of Na2AcCo3F12, with properties calculated at the PBE+U level.

Unit cell a=7.5767 b=7.5767 c=16.4361 alpha=90.00 beta=90.00 gamma=120.00
Space group R-3m (No. 166, hexagonal axes)
Unique sites:
Na 0.0000 0.0000 0.1440 x6
Ac 0.0000 0.0000 0.5000 x3
Co 0.0000 0.5000 0.0000 x9
F 0.0444 0.5222 0.8814 x18
F 0.0886 0.5443 0.3044 x18

DOS at the Fermi energy = 0.42 states/eV/atom
calculated density = 4.13 Mg/m³
raw total energy = -5.133 eV per atom
size of the total moment = 30.00 μB per cell